PuTi2Ru: relaxed, PBE.

Calculated values
E above lowest polymorph: 24.3 kJ/mol of atoms
N(E_F): 3.02 states/eV per atom
SG: Fm-3m
Formation enthalpy at 0 K: -0.026 eV per atom

Unit cell a=6.4608 b=6.4608 c=6.4608 alpha=90.00 beta=90.00 gamma=90.00
Closest atoms and distances in Å follow each position.
Positions (direct):
Pu: 0.0000 0.0000 0.0000  8 Ti 2.80
Pu: 0.0000 0.5000 0.5000  8 Ti 2.80
Pu: 0.5000 0.0000 0.5000  8 Ti 2.80
Pu: 0.5000 0.5000 0.0000  8 Ti 2.80
Ti: 0.2500 0.2500 0.2500  4 Ru 2.80, 4 Pu 2.80
Ti: 0.2500 0.2500 0.7500  4 Ru 2.80, 4 Pu 2.80
Ti: 0.2500 0.7500 0.2500  4 Ru 2.80, 4 Pu 2.80
Ti: 0.2500 0.7500 0.7500  4 Ru 2.80, 4 Pu 2.80
Ti: 0.7500 0.2500 0.2500  4 Ru 2.80, 4 Pu 2.80
Ti: 0.7500 0.2500 0.7500  4 Ru 2.80, 4 Pu 2.80
Ti: 0.7500 0.7500 0.2500  4 Ru 2.80, 4 Pu 2.80
Ti: 0.7500 0.7500 0.7500  4 Ru 2.80, 4 Pu 2.80
Ru: 0.0000 0.0000 0.5000  8 Ti 2.80
Ru: 0.0000 0.5000 0.0000  8 Ti 2.80
Ru: 0.5000 0.0000 0.0000  8 Ti 2.80
Ru: 0.5000 0.5000 0.5000  8 Ti 2.80

PuTi2Ru: relaxed, PBE.

Calculated values
E above lowest polymorph: 0.0 kJ/mol of atoms
N(E_F): 1.09 states/eV per atom
SG: P4/mmm
Formation enthalpy at 0 K: -0.277 eV per atom

Unit cell a=3.0701 b=3.0701 c=7.3494 alpha=90.00 beta=90.00 gamma=90.00
Closest atoms and distances in Å follow each position.
Positions (direct):
Pu: 0.0000 0.0000 0.0000  8 Ti 3.05, 4 Pu 3.07
Ti: 0.5000 0.5000 0.2906  4 Ru 2.66
Ti: 0.5000 0.5000 0.7094  4 Ru 2.66
Ru: 0.0000 0.0000 0.5000  8 Ti 2.66